(1)
VASP calculation (PBE) on a relaxed ErZrTl crystal.

The density of states at the Fermi level is 0.74 states/eV/atom. The value obtained for the total energy is -31.65 eV for the cell shown. The calculation puts the formation energy at -0.116 eV per atom. The density is 10.0 Mg/m³. The energy above the most stable polymorph in this dataset is 1.82 kcal/mol of atoms.

It has space group I4mm (No. 107), with a = 3.4705 Å, b = 3.4705 Å, c = 12.7943 Å, α = 90.00°, β = 90.00° and γ = 90.00°. The inequivalent atoms are Er at (0.0000, 0.0000, 0.0000), Zr at (0.0000, 0.0000, 0.3276) and Tl at (0.0000, 0.0000, 0.6712).



(2)
VASP calculation (PBE) on a relaxed TiTl3Cu2Se6 crystal.

The density of states at the Fermi level is 0.70 states/eV/atom. The value obtained for the total energy is -97.31 eV for the cell shown. The density is 7.5 Mg/m³.

It has space group C2/m (No. 12), with a = 6.7570 Å, b = 11.6400 Å, c = 7.4610 Å, α = 90.00°, β = 107.10° and γ = 90.00°. The inequivalent atoms are Ti at (0.0000, 0.0000, 0.0000), Tl at (0.0000, 0.1619, 0.5000), Tl at (0.0000, 0.5000, 0.5000), Cu at (0.0000, 0.3317, 0.0000), Se at (0.2264, 0.1664, 0.1888) and Se at (0.2294, 0.5000, 0.1838).



- Which of these has the lowest density?
  TiTl3Cu2Se6



- Which formula does entry 1 have?
  ErZrTl